[1]
This record from Alexandria describes a relaxed In3Ag5Pt12 crystal. The functional is GGA-PBE.

Unit cell a=13.358 b=13.358 c=13.358 alpha=109.47 beta=109.47 gamma=109.47
Fractional coordinates of all 80 atoms:
Pt 0.155 0.076 0.726
Pt 0.572 0.345 0.921
Pt 0.428 0.655 0.079
Pt 0.849 0.274 0.428
Pt 0.226 0.655 0.076
Pt 0.928 0.349 0.274
Pt 0.424 0.151 0.579
Pt 0.572 0.226 0.151
Pt 0.655 0.428 0.579
Pt 0.579 0.928 0.655
Pt 0.579 0.651 0.424
Pt 0.774 0.428 0.349
Pt 0.924 0.079 0.651
Pt 0.155 0.079 0.928
Pt 0.726 0.151 0.072
Pt 0.349 0.421 0.076
Pt 0.576 0.726 0.655
Pt 0.151 0.424 0.079
Pt 0.921 0.845 0.572
Pt 0.076 0.921 0.349
Pt 0.072 0.651 0.726
Pt 0.576 0.849 0.421
Pt 0.079 0.924 0.151
Pt 0.274 0.849 0.928
Pt 0.651 0.072 0.226
Pt 0.928 0.579 0.155
Pt 0.774 0.345 0.924
Pt 0.428 0.774 0.849
Pt 0.345 0.572 0.421
Pt 0.076 0.155 0.226
Pt 0.421 0.072 0.345
Pt 0.651 0.579 0.924
Pt 0.226 0.572 0.651
Pt 0.845 0.924 0.274
Pt 0.726 0.576 0.155
Pt 0.349 0.928 0.774
Pt 0.924 0.845 0.774
Pt 0.424 0.274 0.345
Pt 0.845 0.921 0.072
Pt 0.921 0.076 0.849
Pt 0.072 0.421 0.845
Pt 0.655 0.226 0.576
Pt 0.421 0.349 0.576
Pt 0.274 0.424 0.845
Pt 0.151 0.726 0.572
Pt 0.079 0.155 0.428
Pt 0.345 0.774 0.424
Pt 0.849 0.576 0.921
Ag 0.500 0.000 0.500
Ag 0.125 0.750 0.375
Ag 0.625 0.875 0.250
Ag 0.625 0.750 0.875
Ag 0.750 0.625 0.375
Ag 0.000 0.500 0.500
Ag 0.500 0.000 0.000
Ag 0.500 0.500 0.000
Ag 0.500 0.500 0.500
Ag 0.000 0.000 0.000
Ag 0.875 0.625 0.750
Ag 0.375 0.125 0.750
Ag 0.000 0.500 0.000
Ag 0.250 0.875 0.125
Ag 0.750 0.125 0.875
Ag 0.875 0.250 0.625
Ag 0.375 0.250 0.125
Ag 0.250 0.375 0.625
Ag 0.125 0.375 0.250
Ag 0.000 0.000 0.500
In 0.375 0.625 0.250
In 0.625 0.250 0.375
In 0.875 0.750 0.125
In 0.250 0.625 0.875
In 0.750 0.375 0.125
In 0.750 0.875 0.625
In 0.125 0.250 0.875
In 0.250 0.125 0.375
In 0.625 0.375 0.750
In 0.125 0.875 0.750
In 0.375 0.750 0.625
In 0.875 0.125 0.250

symmetry = Ia-3d, No. 230
crystal system = cubic
final energy = -4.24 eV per atom

[2]
This record from Alexandria describes a relaxed LiDyPuSi crystal. The functional is GGA-PBE.

Unit cell a=4.985 b=4.985 c=4.985 alpha=60.00 beta=60.00 gamma=60.00
Site moments in Bohr magnetons follow the coordinates.
Fractional coordinates of all 4 atoms:
Pu 0.500 0.500 0.500  5.41
Li 0.250 0.250 0.250  0.05
Dy 0.000 0.000 0.000  0.26
Si 0.750 0.750 0.750  -0.06

symmetry = F-43m, No. 216
crystal system = cubic
final energy = -6.74 eV per atom

[3]
This record from Alexandria describes a relaxed BeCrSe2 crystal. The functional is GGA-PBE.

Unit cell a=4.574 b=4.574 c=4.574 alpha=60.00 beta=60.00 gamma=60.00
Site moments in Bohr magnetons follow the coordinates.
Fractional coordinates of all 4 atoms:
Cr 0.750 0.750 0.750  3.60
Se 0.000 0.000 0.000  -0.17
Se 0.250 0.250 0.250  -0.04
Be 0.500 0.500 0.500  0.04

symmetry = F-43m, No. 216
crystal system = cubic
final energy = -4.41 eV per atom